[1]
KPuRhO6: relaxed, PBE-GGA.

a = 5.3236 Å, b = 5.3236 Å, c = 6.1270 Å
α = 90.00°, β = 90.00°, γ = 120.00°
Last column: nearest neighbours and their distance in Å.
Space group P312 (No. 149)
Symmetry-distinct sites (fractional):
K 0.0000 0.0000 0.0000  6 O 2.77
Pu 0.3333 0.6667 0.5000  6 O 2.02
Rh 0.6667 0.3333 0.5000  6 O 2.01
O 0.3653 0.0013 0.6786  1 Rh 2.01, 1 Pu 2.02

Calculated values
Total magnetization: 2.1 Bohr magnetons per cell
Raw formation energy: -1.692 eV per atom
Volume: 150.4 Å³ per cell


[2]
K2RbTiCl6: relaxed, PBE-GGA.

a = 7.6052 Å, b = 7.6052 Å, c = 19.5198 Å
α = 90.00°, β = 90.00°, γ = 120.00°
Last column: nearest neighbours and their distance in Å.
Space group R3 (No. 146, hexagonal axes)
Symmetry-distinct sites (fractional):
K 0.0000 0.0000 0.0000  6 Cl 3.11-3.33
K 0.0000 0.0000 0.4911  6 Cl 3.20-3.28
Rb 0.0000 0.0000 0.2101  6 Cl 3.18-3.34
Ti 0.0000 0.0000 0.7017  6 Cl 2.45-2.46
Cl 0.0390 0.2861 0.7711  1 Ti 2.45
Cl 0.0894 0.6926 0.2924  1 Ti 2.46

Calculated values
Total magnetization: 3.0 Bohr magnetons per cell
Raw formation energy: -1.809 eV per atom
Volume: 977.8 Å³ per cell


[3]
Mg2Ag3: relaxed, PBE-GGA.

a = 9.7663 Å, b = 14.0053 Å, c = 5.3781 Å
α = 90.00°, β = 90.00°, γ = 90.00°
Last column: nearest neighbours and their distance in Å.
Space group Fdd2 (No. 43)
Symmetry-distinct sites (fractional):
Mg 0.0345 0.3023 0.0000  8 Ag 2.81-3.04, 2 Mg 3.14
Ag 0.0000 0.0000 0.4325  6 Mg 2.81-3.04, 4 Ag 2.91-3.10
Ag 0.0445 0.3976 0.4693  6 Mg 2.86-3.15, 5 Ag 2.86-3.10

Calculated values
Total magnetization: 0.0 Bohr magnetons per cell
Volume: 735.6 Å³ per cell
Formation energy: -0.19 eV per atom


Here are the calculated DFT total energy numbers, same order: -7.528 -4.022 -2.542 (eV/atom).